# 1
Below is crystalline La2Te2I at its relaxed geometry, with properties calculated at the PBE level.

Structure (POSCAR):
```
La2Te2I
1.0
8.8727 0.0000 0.0000
0.0000 8.8727 0.0000
0.0000 0.0000 4.2227
La Te I
4 4 2
direct
0.1533 0.3467 0.0000
0.3467 0.8467 0.0000
0.6533 0.1533 0.0000
0.8467 0.6533 0.0000
0.1412 0.6412 0.5000
0.3588 0.1412 0.5000
0.6412 0.8588 0.5000
0.8588 0.3588 0.5000
0.0000 0.0000 0.0000
0.5000 0.5000 0.0000
```

## Properties
* E above lowest polymorph: 0 meV per atom
* mass density: 6.59 g cm⁻³
* raw total energy: -51.0 eV/cell
* Fermi-level density of states: 0.340 states/eV per atom
* formation energy without anion corrections: -1565 meV per atom


# 2
Below is crystalline GaTcTeS2 at its relaxed geometry, with properties calculated at the PBE level.

Structure (POSCAR):
```
GaTcTeS2
1.0
4.5149 0.0000 0.0000
0.0000 4.5149 0.0000
0.0000 0.0000 5.8414
Ga Tc Te S
1 1 1 2
direct
0.0000 0.0000 0.0000
0.5000 0.5000 0.5000
0.5000 0.5000 0.0000
0.0000 0.5000 0.5000
0.5000 0.0000 0.5000
```

## Properties
* mass density: 5.01 g cm⁻³
* raw total energy: -24.4 eV/cell
* Fermi-level density of states: 1.000 states/eV per atom
* formation energy without anion corrections: 82 meV per atom


> Which of these has the lowest mass density?

GaTcTeS2


Please write out number 2 again, unchanged.
Below is crystalline GaTcTeS2 at its relaxed geometry, with properties calculated at the PBE level.

Structure (POSCAR):
```
GaTcTeS2
1.0
4.5149 0.0000 0.0000
0.0000 4.5149 0.0000
0.0000 0.0000 5.8414
Ga Tc Te S
1 1 1 2
direct
0.0000 0.0000 0.0000
0.5000 0.5000 0.5000
0.5000 0.5000 0.0000
0.0000 0.5000 0.5000
0.5000 0.0000 0.5000
```

## Properties
* mass density: 5.01 g cm⁻³
* raw total energy: -24.4 eV/cell
* Fermi-level density of states: 1.000 states/eV per atom
* formation energy without anion corrections: 82 meV per atom


> Which of these has the lowest mass density?

GaTcTeS2


> Which of these has the highest mass density?

La2Te2I